## Sm2DySi3Ni12 (PBE-GGA)

Data for a relaxed Sm2DySi3Ni12 crystal.

Cell and atoms, written as CIF:
```
data_Sm2DySi3Ni12
_cell_length_a 7.4999
_cell_length_b 7.4999
_cell_length_c 18.4293
_cell_angle_alpha 90.00
_cell_angle_beta 90.00
_cell_angle_gamma 120.00
_symmetry_space_group_name_H-M 'R -3 m'
_symmetry_Int_Tables_number 166
_symmetry_space_group_name_Hall '-R 3 2"'
loop_
_atom_site_label
_atom_site_fract_x
_atom_site_fract_y
_atom_site_fract_z
_atom_site_occupancy
Sm1 0.0000 0.0000 0.0949 1
Dy1 0.0000 0.0000 0.5000 1
Si1 0.0000 0.5000 0.0000 1
Ni1 0.0264 0.5132 0.3648 1
Ni2 0.0881 0.5441 0.8801 1
```

Properties
For the raw formation energy, the calculation gives 0.03 eV/atom.



## Ce3NdSc2Se6 (PBE-GGA)

Data for a relaxed Ce3NdSc2Se6 crystal.

Cell and atoms, written as CIF:
```
data_Ce3NdSc2Se6
_cell_length_a 7.080
_cell_length_b 12.266
_cell_length_c 7.154
_cell_angle_alpha 90.00
_cell_angle_beta 109.38
_cell_angle_gamma 90.00
_symmetry_space_group_name_H-M 'C 1 2/m 1'
_symmetry_Int_Tables_number 12
loop_
_symmetry_equiv_pos_as_xyz
'x,y,z'
'-x,-y,-z'
'-x,y,-z'
'x,-y,z'
'x+1/2,y+1/2,z'
'-x+1/2,-y+1/2,-z'
'-x+1/2,y+1/2,-z'
'x+1/2,-y+1/2,z'
loop_
_atom_site_label
_atom_site_fract_x
_atom_site_fract_y
_atom_site_fract_z
_atom_site_occupancy
Ce1 0.000 0.000 0.000 1
Ce2 0.000 0.341 0.000 1
Nd1 0.000 0.500 0.500 1
Sc1 0.000 0.168 0.500 1
Se1 0.225 0.000 0.727 1
Se2 0.246 0.175 0.265 1
```

Properties
For the raw formation energy, the calculation gives -1.73 eV/atom.



## Ti6CoSn3 (PBE-GGA)

Data for a relaxed Ti6CoSn3 crystal.

Cell and atoms, written as CIF:
```
data_Ti6CoSn3
_cell_length_a 10.254
_cell_length_b 5.933
_cell_length_c 7.065
_cell_angle_alpha 90.00
_cell_angle_beta 110.07
_cell_angle_gamma 90.00
_symmetry_space_group_name_H-M 'C 1 2/m 1'
_symmetry_Int_Tables_number 12
loop_
_symmetry_equiv_pos_as_xyz
'x,y,z'
'-x,-y,-z'
'-x,y,-z'
'x,-y,z'
'x+1/2,y+1/2,z'
'-x+1/2,-y+1/2,-z'
'-x+1/2,y+1/2,-z'
'x+1/2,-y+1/2,z'
loop_
_atom_site_label
_atom_site_fract_x
_atom_site_fract_y
_atom_site_fract_z
_atom_site_occupancy
Ti1 0.108 0.236 0.380 1
Ti2 0.202 0.500 0.798 1
Co1 0.000 0.500 0.500 1
Sn1 0.000 0.000 0.000 1
Sn2 0.196 0.000 0.760 1
```

Properties
The energy relative to the elements comes out at -25.0 kJ/mol of formula units.



## PrHgI2 (PBE-GGA)

Data for a relaxed PrHgI2 crystal.

Cell and atoms, written as CIF:
```
data_PrHgI2
_cell_length_a 4.2339
_cell_length_b 4.2339
_cell_length_c 37.3461
_cell_angle_alpha 90.00
_cell_angle_beta 90.00
_cell_angle_gamma 120.00
_symmetry_space_group_name_H-M 'R -3 m'
_symmetry_Int_Tables_number 166
_symmetry_space_group_name_Hall '-R 3 2"'
loop_
_atom_site_label
_atom_site_fract_x
_atom_site_fract_y
_atom_site_fract_z
_atom_site_occupancy
Pr1 0.0000 0.0000 0.0000 1
Hg1 0.0000 0.0000 0.5000 1
I1 0.0000 0.0000 0.3892 1
```

Properties
For the raw formation energy, the calculation gives -0.95 eV/atom.



## Nd3U2Ru4 (PBE-GGA)

Data for a relaxed Nd3U2Ru4 crystal.

Cell and atoms, written as CIF:
```
data_Nd3U2Ru4
_cell_length_a 13.163
_cell_length_b 3.797
_cell_length_c 8.890
_cell_angle_alpha 90.00
_cell_angle_beta 109.05
_cell_angle_gamma 90.00
_symmetry_space_group_name_H-M 'C 1 2/m 1'
_symmetry_Int_Tables_number 12
loop_
_symmetry_equiv_pos_as_xyz
'x,y,z'
'-x,-y,-z'
'-x,y,-z'
'x,-y,z'
'x+1/2,y+1/2,z'
'-x+1/2,-y+1/2,-z'
'-x+1/2,y+1/2,-z'
'x+1/2,-y+1/2,z'
loop_
_atom_site_label
_atom_site_fract_x
_atom_site_fract_y
_atom_site_fract_z
_atom_site_occupancy
Nd1 0.000 0.000 0.000 1
Nd2 0.099 0.500 0.708 1
U1 0.184 0.500 0.321 1
Ru1 0.100 0.000 0.431 1
Ru2 0.209 0.500 0.083 1
```

Properties
The energy relative to the elements comes out at -243.6 kJ/mol of formula units.



## Ca3MoRu (PBE-GGA)

Data for a relaxed Ca3MoRu crystal.

Cell and atoms, written as CIF:
```
data_Ca3MoRu
_cell_length_a 5.364
_cell_length_b 5.364
_cell_length_c 5.364
_cell_angle_alpha 90.00
_cell_angle_beta 90.00
_cell_angle_gamma 90.00
_symmetry_space_group_name_H-M 'P m -3 m'
_symmetry_Int_Tables_number 221
_symmetry_space_group_name_Hall '-P 4 2 3'
loop_
_atom_site_label
_atom_site_fract_x
_atom_site_fract_y
_atom_site_fract_z
_atom_site_occupancy
Ca1 0.000 0.000 0.500 1
Mo1 0.500 0.500 0.500 1
Ru1 0.000 0.000 0.000 1
```

Properties
The energy relative to the elements comes out at 454.2 kJ/mol of formula units. The energy above the most stable polymorph in this dataset comes out at 0.000 eV per atom.



## DyTm6Pu (PBE-GGA)

Data for a relaxed DyTm6Pu crystal.

Cell and atoms, written as CIF:
```
data_DyTm6Pu
_cell_length_a 5.576
_cell_length_b 7.055
_cell_length_c 12.218
_cell_angle_alpha 90.00
_cell_angle_beta 90.00
_cell_angle_gamma 90.00
_symmetry_space_group_name_H-M 'A m m 2'
_symmetry_Int_Tables_number 38
loop_
_symmetry_equiv_pos_as_xyz
'x,y,z'
'-x,-y,z'
'-x,y,z'
'x,-y,z'
'x,y+1/2,z+1/2'
'-x,-y+1/2,z+1/2'
'-x,y+1/2,z+1/2'
'x,-y+1/2,z+1/2'
loop_
_atom_site_label
_atom_site_fract_x
_atom_site_fract_y
_atom_site_fract_z
_atom_site_occupancy
Dy1 0.000 0.000 0.000 1
Tm1 0.000 0.000 0.502 1
Tm2 0.000 0.247 0.753 1
Tm3 0.500 0.000 0.335 1
Tm4 0.500 0.249 0.087 1
Pu1 0.500 0.000 0.835 1
```

Properties
The energy relative to the elements comes out at 38.6 kJ/mol of formula units.



## Ca2PuAu9 (PBE-GGA)

Data for a relaxed Ca2PuAu9 crystal.

Cell and atoms, written as CIF:
```
data_Ca2PuAu9
_cell_length_a 5.5959
_cell_length_b 5.5959
_cell_length_c 28.4690
_cell_angle_alpha 90.00
_cell_angle_beta 90.00
_cell_angle_gamma 120.00
_symmetry_space_group_name_H-M 'R -3 m'
_symmetry_Int_Tables_number 166
_symmetry_space_group_name_Hall '-R 3 2"'
loop_
_atom_site_label
_atom_site_fract_x
_atom_site_fract_y
_atom_site_fract_z
_atom_site_occupancy
Ca1 0.0000 0.0000 0.1418 1
Pu1 0.0000 0.0000 0.0000 1
Au1 0.0000 0.0000 0.3328 1
Au2 0.0000 0.0000 0.5000 1
Au3 0.0026 0.5013 0.9149 1
```

Properties
The energy relative to the elements comes out at -508.2 kJ/mol of formula units.



## Th2PaTcN6 (PBE-GGA)

Data for a relaxed Th2PaTcN6 crystal.

Cell and atoms, written as CIF:
```
data_Th2PaTcN6
_cell_length_a 5.584
_cell_length_b 5.584
_cell_length_c 5.065
_cell_angle_alpha 90.00
_cell_angle_beta 90.00
_cell_angle_gamma 90.00
_symmetry_space_group_name_H-M 'P 4 m m'
_symmetry_Int_Tables_number 99
loop_
_symmetry_equiv_pos_as_xyz
'x,y,z'
'-y,x,z'
'-x,-y,z'
'y,-x,z'
'-x,y,z'
'y,x,z'
'x,-y,z'
'-y,-x,z'
loop_
_atom_site_label
_atom_site_fract_x
_atom_site_fract_y
_atom_site_fract_z
_atom_site_occupancy
Th1 0.000 0.500 0.000 1
Pa1 0.000 0.000 0.578 1
Tc1 0.500 0.500 0.577 1
N1 0.000 0.000 0.141 1
N2 0.261 0.261 0.735 1
N3 0.500 0.500 0.230 1
```

Properties
For the raw formation energy, the calculation gives -1.05 eV/atom.



## BaSc2Pb (PBE-GGA)

Data for a relaxed BaSc2Pb crystal.

Cell and atoms, written as CIF:
```
data_BaSc2Pb
_cell_length_a 5.489
_cell_length_b 5.489
_cell_length_c 21.246
_cell_angle_alpha 90.00
_cell_angle_beta 90.00
_cell_angle_gamma 90.00
_symmetry_space_group_name_H-M 'I -4 2 d'
_symmetry_Int_Tables_number 122
_symmetry_space_group_name_Hall 'I -4 2bw'
loop_
_atom_site_label
_atom_site_fract_x
_atom_site_fract_y
_atom_site_fract_z
_atom_site_occupancy
Ba1 0.000 0.000 0.000 1
Sc1 0.001 0.750 0.625 1
Pb1 0.000 0.000 0.500 1
```

Properties
The energy relative to the elements comes out at 108.7 kJ/mol of formula units.



## Na4Sn3Pb2 (PBE-GGA)

Data for a relaxed Na4Sn3Pb2 crystal.

Cell and atoms, written as CIF:
```
data_Na4Sn3Pb2
_cell_length_a 10.833
_cell_length_b 4.820
_cell_length_c 10.141
_cell_angle_alpha 90.00
_cell_angle_beta 108.67
_cell_angle_gamma 90.00
_symmetry_space_group_name_H-M 'C 1 2/m 1'
_symmetry_Int_Tables_number 12
loop_
_symmetry_equiv_pos_as_xyz
'x,y,z'
'-x,-y,-z'
'-x,y,-z'
'x,-y,z'
'x+1/2,y+1/2,z'
'-x+1/2,-y+1/2,-z'
'-x+1/2,y+1/2,-z'
'x+1/2,-y+1/2,z'
loop_
_atom_site_label
_atom_site_fract_x
_atom_site_fract_y
_atom_site_fract_z
_atom_site_occupancy
Na1 0.006 0.000 0.171 1
Na2 0.172 0.500 0.385 1
Sn1 0.000 0.000 0.500 1
Sn2 0.170 0.500 0.036 1
Pb1 0.158 0.500 0.711 1
```

Properties
The energy relative to the elements comes out at -125.5 kJ/mol of formula units.



## TaBiOF2 (PBE-GGA)

Data for a relaxed TaBiOF2 crystal.

Cell and atoms, written as CIF:
```
data_TaBiOF2
_cell_length_a 4.486
_cell_length_b 4.486
_cell_length_c 3.905
_cell_angle_alpha 90.00
_cell_angle_beta 90.00
_cell_angle_gamma 90.00
_symmetry_space_group_name_H-M 'P 4/m m m'
_symmetry_Int_Tables_number 123
_symmetry_space_group_name_Hall '-P 4 2'
loop_
_atom_site_label
_atom_site_fract_x
_atom_site_fract_y
_atom_site_fract_z
_atom_site_occupancy
Ta1 0.000 0.000 0.000 1
Bi1 0.500 0.500 0.500 1
O1 0.000 0.000 0.500 1
F1 0.000 0.500 0.000 1
```

Properties
For the raw formation energy, the calculation gives -1.45 eV/atom. The energy above the most stable polymorph in this dataset comes out at 0.000 eV per atom.



## Ce2InRe (PBE-GGA)

Data for a relaxed Ce2InRe crystal.

Cell and atoms, written as CIF:
```
data_Ce2InRe
_cell_length_a 3.336
_cell_length_b 3.336
_cell_length_c 8.769
_cell_angle_alpha 90.00
_cell_angle_beta 90.00
_cell_angle_gamma 90.00
_symmetry_space_group_name_H-M 'P 4/m m m'
_symmetry_Int_Tables_number 123
_symmetry_space_group_name_Hall '-P 4 2'
loop_
_atom_site_label
_atom_site_fract_x
_atom_site_fract_y
_atom_site_fract_z
_atom_site_occupancy
Ce1 0.000 0.000 0.204 1
In1 0.500 0.500 0.500 1
Re1 0.500 0.500 0.000 1
```

Properties
The energy relative to the elements comes out at -46.6 kJ/mol of formula units. The energy above the most stable polymorph in this dataset comes out at 0.000 eV per atom.



## LaSn2HgBi (PBE-GGA)

Data for a relaxed LaSn2HgBi crystal.

Cell and atoms, written as CIF:
```
data_LaSn2HgBi
_cell_length_a 6.151
_cell_length_b 6.151
_cell_length_c 6.163
_cell_angle_alpha 90.00
_cell_angle_beta 90.00
_cell_angle_gamma 90.00
_symmetry_space_group_name_H-M 'P 4/m m m'
_symmetry_Int_Tables_number 123
_symmetry_space_group_name_Hall '-P 4 2'
loop_
_atom_site_label
_atom_site_fract_x
_atom_site_fract_y
_atom_site_fract_z
_atom_site_occupancy
La1 0.000 0.000 0.000 1
Sn1 0.000 0.500 0.000 1
Hg1 0.500 0.500 0.500 1
Bi1 0.000 0.000 0.500 1
```

Properties
The energy relative to the elements comes out at 237.5 kJ/mol of formula units.



## Ce2GaRh3 (PBE-GGA)

Data for a relaxed Ce2GaRh3 crystal.

Cell and atoms, written as CIF:
```
data_Ce2GaRh3
_cell_length_a 11.619
_cell_length_b 5.326
_cell_length_c 8.034
_cell_angle_alpha 90.00
_cell_angle_beta 110.80
_cell_angle_gamma 90.00
_symmetry_space_group_name_H-M 'C 1 2/c 1'
_symmetry_Int_Tables_number 15
loop_
_symmetry_equiv_pos_as_xyz
'x,y,z'
'-x,-y,-z'
'-x,y,-z+1/2'
'x,-y,z+1/2'
'x+1/2,y+1/2,z'
'-x+1/2,-y+1/2,-z'
'-x+1/2,y+1/2,-z+1/2'
'x+1/2,-y+1/2,z+1/2'
loop_
_atom_site_label
_atom_site_fract_x
_atom_site_fract_y
_atom_site_fract_z
_atom_site_occupancy
Ce1 0.174 0.006 0.086 1
Ga1 0.000 0.320 0.250 1
Rh1 0.000 0.173 0.750 1
Rh2 0.129 0.496 0.566 1
```

Properties
The energy relative to the elements comes out at -432.4 kJ/mol of formula units. The energy above the most stable polymorph in this dataset comes out at 0.092 eV per atom.



## Tl3AgRu (PBE-GGA)

Data for a relaxed Tl3AgRu crystal.

Cell and atoms, written as CIF:
```
data_Tl3AgRu
_cell_length_a 5.271
_cell_length_b 5.271
_cell_length_c 5.271
_cell_angle_alpha 90.00
_cell_angle_beta 90.00
_cell_angle_gamma 90.00
_symmetry_space_group_name_H-M 'P m -3 m'
_symmetry_Int_Tables_number 221
_symmetry_space_group_name_Hall '-P 4 2 3'
loop_
_atom_site_label
_atom_site_fract_x
_atom_site_fract_y
_atom_site_fract_z
_atom_site_occupancy
Tl1 0.000 0.000 0.500 1
Ag1 0.500 0.500 0.500 1
Ru1 0.000 0.000 0.000 1
```

Properties
The energy relative to the elements comes out at 216.1 kJ/mol of formula units. The energy above the most stable polymorph in this dataset comes out at 0.000 eV per atom.



## NaZrAl (PBE-GGA)

Data for a relaxed NaZrAl crystal.

Cell and atoms, written as CIF:
```
data_NaZrAl
_cell_length_a 5.1533
_cell_length_b 5.1533
_cell_length_c 5.9202
_cell_angle_alpha 90.00
_cell_angle_beta 90.00
_cell_angle_gamma 120.00
_symmetry_space_group_name_H-M 'P 63/m m c'
_symmetry_Int_Tables_number 194
_symmetry_space_group_name_Hall '-P 6c 2c'
loop_
_atom_site_label
_atom_site_fract_x
_atom_site_fract_y
_atom_site_fract_z
_atom_site_occupancy
Na1 0.0000 0.0000 0.0000 1
Zr1 0.3333 0.6667 0.2500 1
Al1 0.3333 0.6667 0.7500 1
```

Properties
The energy relative to the elements comes out at 36.4 kJ/mol of formula units. The energy above the most stable polymorph in this dataset comes out at 0.216 eV per atom.



## TlInS (PBE-GGA)

Data for a relaxed TlInS crystal.

Cell and atoms, written as CIF:
```
data_TlInS
_cell_length_a 13.505
_cell_length_b 4.121
_cell_length_c 7.302
_cell_angle_alpha 90.00
_cell_angle_beta 120.07
_cell_angle_gamma 90.00
_symmetry_space_group_name_H-M 'C 1 2/m 1'
_symmetry_Int_Tables_number 12
loop_
_symmetry_equiv_pos_as_xyz
'x,y,z'
'-x,-y,-z'
'-x,y,-z'
'x,-y,z'
'x+1/2,y+1/2,z'
'-x+1/2,-y+1/2,-z'
'-x+1/2,y+1/2,-z'
'x+1/2,-y+1/2,z'
loop_
_atom_site_label
_atom_site_fract_x
_atom_site_fract_y
_atom_site_fract_z
_atom_site_occupancy
Tl1 0.112 0.000 0.450 1
In1 0.104 0.500 0.939 1
S1 0.226 0.000 0.198 1
```

Properties
For the raw formation energy, the calculation gives -0.32 eV/atom. The energy above the most stable polymorph in this dataset comes out at 0.005 eV per atom.



## PmNd8Y3 (PBE-GGA)

Data for a relaxed PmNd8Y3 crystal.

Cell and atoms, written as CIF:
```
data_PmNd8Y3
_cell_length_a 8.830
_cell_length_b 8.830
_cell_length_c 11.617
_cell_angle_alpha 90.00
_cell_angle_beta 90.00
_cell_angle_gamma 90.00
_symmetry_space_group_name_H-M 'I -4 2 m'
_symmetry_Int_Tables_number 121
_symmetry_space_group_name_Hall 'I -4 2'
loop_
_atom_site_label
_atom_site_fract_x
_atom_site_fract_y
_atom_site_fract_z
_atom_site_occupancy
Pm1 0.000 0.000 0.000 1
Nd1 0.124 0.124 0.250 1
Nd2 0.249 0.249 0.504 1
Y1 0.000 0.000 0.500 1
Y2 0.000 0.500 0.250 1
```

Properties
The energy relative to the elements comes out at 666.4 kJ/mol of formula units.



## CaNd2Bi2 (PBE-GGA)

Data for a relaxed CaNd2Bi2 crystal.

Cell and atoms, written as CIF:
```
data_CaNd2Bi2
_cell_length_a 18.224
_cell_length_b 4.592
_cell_length_c 8.972
_cell_angle_alpha 90.00
_cell_angle_beta 104.11
_cell_angle_gamma 90.00
_symmetry_space_group_name_H-M 'C 1 2/m 1'
_symmetry_Int_Tables_number 12
loop_
_symmetry_equiv_pos_as_xyz
'x,y,z'
'-x,-y,-z'
'-x,y,-z'
'x,-y,z'
'x+1/2,y+1/2,z'
'-x+1/2,-y+1/2,-z'
'-x+1/2,y+1/2,-z'
'x+1/2,-y+1/2,z'
loop_
_atom_site_label
_atom_site_fract_x
_atom_site_fract_y
_atom_site_fract_z
_atom_site_occupancy
Ca1 0.178 0.000 0.338 1
Nd1 0.001 0.500 0.754 1
Nd2 0.176 0.000 0.836 1
Bi1 0.134 0.500 0.564 1
Bi2 0.138 0.500 0.069 1
```

Properties
The energy relative to the elements comes out at -318.0 kJ/mol of formula units. The energy above the most stable polymorph in this dataset comes out at 0.149 eV per atom.



no.,theoretical density (g cm⁻³),E (eV/atom)
1,6.95,-5.513
2,6.39,-6.409
3,5.78,-6.674
4,5.12,-2.995
5,10.38,-8.501
6,3.41,-4.281
7,9.81,-5.670
8,13.53,-4.425
9,9.22,-9.511
10,4.51,-4.292
11,5.71,-2.889
12,9.38,-6.341
13,9.89,-6.884
14,5.60,-2.931
15,9.41,-6.905
16,9.32,-3.397
17,3.44,-4.411
18,6.63,-3.399
19,5.74,-4.615
20,6.81,-4.519